A) V2Ni8Pt | Alexandria via LeMat-Bulk | PBE-GGA | optimized geometry; spin magnetization = 0.00 μB/cell; volume = 11.6 A^3/atom
1.0
-3.460 -0.726 0.671
1.467 -5.042 2.107
1.865 4.416 4.749
V Ni Pt
2 8 1
direct
0.857 0.808 0.715 V
0.143 0.192 0.285 V
0.409 0.542 0.818 Ni
0.684 0.905 0.368 Ni
0.770 0.364 0.540 Ni
0.049 0.726 0.097 Ni
0.230 0.636 0.460 Ni
0.316 0.095 0.632 Ni
0.591 0.458 0.182 Ni
0.951 0.274 0.903 Ni
0.500 0.000 0.000 Pt

B) V2Ni8Pt | Alexandria via LeMat-Bulk | PBE-GGA | optimized geometry; spin magnetization = 0.00 μB/cell; volume = 12.0 A^3/atom
1.0
4.074 1.456 0.000
2.423 6.069 0.000
1.211 3.035 6.241
V Ni Pt
2 8 1
direct
0.000 0.318 0.365 V
0.000 0.682 0.635 V
0.765 0.102 0.269 Ni
0.765 0.371 0.731 Ni
0.249 0.498 0.000 Ni
0.500 0.797 0.405 Ni
0.500 0.203 0.595 Ni
0.751 0.502 0.000 Ni
0.235 0.629 0.269 Ni
0.235 0.898 0.731 Ni
0.500 0.000 0.000 Pt

Stability check: which of them is least stable? B).

A) VNi3Pt3 | Alexandria via LeMat-Bulk | PBE-GGA | optimized geometry; spin magnetization = 2.23 μB/cell; volume = 13.3 A^3/atom
1.0
-1.598 -3.082 -2.541
6.530 -1.569 -2.203
-2.700 -3.264 5.658
V Ni Pt
2 6 6
direct
0.250 0.667 0.333 V
0.750 0.333 0.667 V
0.250 0.818 0.773 Ni
0.250 0.227 0.046 Ni
0.250 0.954 0.182 Ni
0.750 0.182 0.227 Ni
0.750 0.773 0.954 Ni
0.750 0.046 0.818 Ni
0.750 0.631 0.543 Pt
0.750 0.457 0.088 Pt
0.750 0.912 0.369 Pt
0.250 0.369 0.457 Pt
0.250 0.543 0.912 Pt
0.250 0.088 0.631 Pt

B) VNi3Pt3 | Alexandria via LeMat-Bulk | PBE-GGA | optimized geometry; spin magnetization = 0.99 μB/cell; volume = 13.9 A^3/atom
1.0
7.302 0.000 0.000
0.000 7.302 0.000
0.000 0.000 7.302
V Ni Pt
4 12 12
direct
0.029 0.529 0.971 V
0.971 0.029 0.529 V
0.471 0.471 0.471 V
0.529 0.971 0.029 V
0.834 0.334 0.166 Ni
0.852 0.852 0.852 Ni
0.848 0.652 0.348 Ni
0.166 0.834 0.334 Ni
0.152 0.152 0.152 Ni
0.348 0.848 0.652 Ni
0.148 0.352 0.648 Ni
0.334 0.166 0.834 Ni
0.652 0.348 0.848 Ni
0.666 0.666 0.666 Ni
0.648 0.148 0.352 Ni
0.352 0.648 0.148 Ni
0.681 0.633 0.044 Pt
0.867 0.956 0.181 Pt
0.044 0.681 0.633 Pt
0.133 0.456 0.319 Pt
0.319 0.133 0.456 Pt
0.181 0.867 0.956 Pt
0.956 0.181 0.867 Pt
0.367 0.544 0.819 Pt
0.456 0.319 0.133 Pt
0.633 0.044 0.681 Pt
0.819 0.367 0.544 Pt
0.544 0.819 0.367 Pt

Stability check: which of them is least stable? B).

A) VNi3Pt | Alexandria via LeMat-Bulk | PBE-GGA | optimized geometry; spin magnetization = 0.00 μB/cell; volume = 12.2 A^3/atom
1.0
4.404 0.187 0.676
0.441 4.455 0.620
0.934 0.910 3.382
V Ni Pt
1 3 1
direct
0.754 0.563 0.364 V
0.556 0.951 0.770 Ni
0.173 0.758 0.557 Ni
0.364 0.373 0.154 Ni
0.959 0.162 0.962 Pt

B) VNi3Pt | Alexandria via LeMat-Bulk | PBE-GGA | optimized geometry; spin magnetization = 0.00 μB/cell; volume = 14.7 A^3/atom
1.0
-4.009 -0.451 1.130
-0.624 -2.578 -3.243
1.045 -3.271 2.400
Ni Pt V
3 1 1
direct
0.000 0.500 0.000 Ni
0.000 0.000 0.500 Ni
0.500 0.000 0.000 Ni
0.500 0.500 0.500 Pt
0.000 0.000 0.000 V

Stability check: which of them is least stable? B).

A) VNiPt3 | Alexandria via LeMat-Bulk | PBE-GGA | optimized geometry; spin magnetization = 0.00 μB/cell; volume = 14.2 A^3/atom
1.0
4.447 0.113 1.367
1.252 4.441 0.396
0.181 0.050 7.315
V Ni Pt
2 2 6
direct
0.855 0.845 0.007 V
0.556 0.344 0.607 V
0.359 0.344 0.001 Ni
0.052 0.845 0.614 Ni
0.150 0.344 0.419 Pt
0.957 0.345 0.805 Pt
0.649 0.844 0.420 Pt
0.762 0.345 0.195 Pt
0.261 0.845 0.196 Pt
0.454 0.844 0.810 Pt

B) VNiPt3 | Alexandria via LeMat-Bulk | PBE-GGA | optimized geometry; spin magnetization = 1.66 μB/cell; volume = 18.6 A^3/atom
1.0
4.529 0.000 0.000
0.000 4.529 0.000
0.000 0.000 4.529
Ni Pt V
1 3 1
direct
0.000 0.000 0.000 Ni
0.000 0.500 0.000 Pt
0.000 0.000 0.500 Pt
0.500 0.000 0.000 Pt
0.500 0.500 0.500 V

C) VNiPt3 | Alexandria via LeMat-Bulk | PBE-GGA | optimized geometry; spin magnetization = 0.49 μB/cell; volume = 19.3 A^3/atom
1.0
-0.375 -4.032 -2.156
-0.597 -2.102 4.034
-4.533 0.611 -0.353
Ni Pt V
1 3 1
direct
0.500 0.500 0.500 Ni
0.000 0.500 0.000 Pt
0.000 0.000 0.500 Pt
0.500 0.000 0.000 Pt
0.000 0.000 0.000 V

Stability check: which of them is least stable? C).

A) VNi2Pt8 | Alexandria via LeMat-Bulk | PBE-GGA | optimized geometry; spin magnetization = 1.11 μB/cell; volume = 16.2 A^3/atom
1.0
-2.719 -3.544 0.912
2.833 -4.938 -3.583
4.135 -4.172 3.278
V Ni Pt
1 2 8
direct
0.000 0.000 0.000 V
0.507 0.886 0.886 Ni
0.493 0.114 0.114 Ni
0.203 0.370 0.771 Pt
0.797 0.229 0.630 Pt
0.072 0.779 0.779 Pt
0.928 0.221 0.221 Pt
0.203 0.771 0.370 Pt
0.797 0.630 0.229 Pt
0.655 0.648 0.648 Pt
0.345 0.352 0.352 Pt

B) VNi2Pt8 | Alexandria via LeMat-Bulk | PBE-GGA | optimized geometry; spin magnetization = 1.45 μB/cell; volume = 14.7 A^3/atom
1.0
3.758 0.000 -1.080
-0.599 5.777 -2.085
0.040 0.526 7.216
V Ni Pt
1 2 8
direct
0.500 0.000 0.000 V
0.225 0.631 0.449 Ni
0.775 0.369 0.551 Ni
0.596 0.448 0.193 Pt
0.319 0.085 0.638 Pt
0.136 0.184 0.273 Pt
0.046 0.730 0.092 Pt
0.864 0.816 0.727 Pt
0.681 0.915 0.362 Pt
0.404 0.552 0.807 Pt
0.954 0.270 0.908 Pt

Stability check: which of them is least stable? A).

A) VNi4Pt | Alexandria via LeMat-Bulk | PBE-GGA | optimized geometry; spin magnetization = 1.72 μB/cell; volume = 12.6 A^3/atom
1.0
-3.159 -1.887 -0.306
1.813 -2.355 -4.190
4.600 -4.852 4.718
V Ni Pt
2 8 2
direct
0.229 0.750 0.458 V
0.771 0.250 0.542 V
0.500 0.500 0.000 Ni
0.500 0.000 0.000 Ni
0.657 0.975 0.314 Ni
0.343 0.025 0.686 Ni
0.343 0.475 0.686 Ni
0.657 0.525 0.314 Ni
0.074 0.750 0.149 Ni
0.926 0.250 0.851 Ni
0.091 0.250 0.182 Pt
0.909 0.750 0.818 Pt

B) VNi4Pt | Alexandria via LeMat-Bulk | PBE-GGA | optimized geometry; spin magnetization = 0.00 μB/cell; volume = 12.0 A^3/atom
1.0
-1.413 3.311 0.032
-6.638 -2.823 -1.016
0.986 0.365 5.686
V Ni Pt
2 8 2
direct
0.750 0.797 0.676 V
0.250 0.203 0.324 V
0.750 0.628 0.990 Ni
0.750 0.123 0.999 Ni
0.250 0.549 0.670 Ni
0.250 0.035 0.674 Ni
0.750 0.965 0.326 Ni
0.750 0.451 0.330 Ni
0.250 0.877 0.001 Ni
0.250 0.372 0.010 Ni
0.750 0.292 0.666 Pt
0.250 0.708 0.334 Pt

Stability check: which of them is least stable? A).

A) V2Ni3Pt4 | Alexandria via LeMat-Bulk | PBE-GGA | optimized geometry; spin magnetization = 1.28 μB/cell; volume = 13.6 A^3/atom
1.0
3.759 0.000 0.000
0.000 5.978 0.579
-1.880 -2.372 5.228
V Ni Pt
2 3 4
direct
0.341 0.006 0.682 V
0.659 0.994 0.318 V
0.887 0.323 0.774 Ni
0.113 0.677 0.226 Ni
0.000 0.000 0.000 Ni
0.550 0.320 0.100 Pt
0.778 0.693 0.556 Pt
0.450 0.680 0.900 Pt
0.222 0.307 0.444 Pt

B) V2Ni3Pt4 | Alexandria via LeMat-Bulk | PBE-GGA | optimized geometry; spin magnetization = 0.00 μB/cell; volume = 13.5 A^3/atom
1.0
-3.206 -1.620 -1.232
0.363 -4.541 -0.827
-2.769 -3.870 6.441
V Ni Pt
2 3 4
direct
0.328 0.112 0.232 V
0.672 0.888 0.768 V
0.332 0.786 0.551 Ni
0.000 0.000 0.000 Ni
0.668 0.214 0.449 Ni
0.665 0.559 0.111 Pt
0.010 0.313 0.666 Pt
0.990 0.687 0.334 Pt
0.335 0.441 0.889 Pt

Stability check: which of them is least stable? A).

A) V2Ni3Pt2 | Alexandria via LeMat-Bulk | PBE-GGA | optimized geometry; spin magnetization = 0.00 μB/cell; volume = 12.9 A^3/atom
1.0
3.660 0.000 0.000
-1.830 4.212 -0.218
0.000 -0.487 5.893
V Ni Pt
2 3 2
direct
0.143 0.286 0.407 V
0.857 0.714 0.593 V
0.292 0.584 0.858 Ni
0.000 0.000 0.000 Ni
0.708 0.416 0.142 Ni
0.576 0.151 0.720 Pt
0.424 0.849 0.280 Pt

B) V2Ni3Pt2 | Alexandria via LeMat-Bulk | PBE-GGA | optimized geometry; spin magnetization = 0.00 μB/cell; volume = 13.6 A^3/atom
1.0
3.730 0.000 -1.997
0.000 10.172 0.000
-1.026 0.000 5.577
V Ni Pt
4 6 4
direct
0.107 0.359 0.027 V
0.607 0.141 0.527 V
0.393 0.859 0.473 V
0.893 0.641 0.973 V
0.500 0.500 0.500 Ni
0.000 0.000 0.000 Ni
0.725 0.943 0.279 Ni
0.775 0.443 0.221 Ni
0.225 0.557 0.779 Ni
0.275 0.057 0.721 Ni
0.684 0.681 0.307 Pt
0.816 0.181 0.193 Pt
0.184 0.819 0.807 Pt
0.316 0.319 0.693 Pt

Stability check: which of them is least stable? B).

A) V2Ni4Pt3 | Alexandria via LeMat-Bulk | PBE-GGA | optimized geometry; spin magnetization = 0.00 μB/cell; volume = 13.0 A^3/atom
1.0
-1.899 2.932 2.863
1.313 0.035 4.405
4.289 6.203 3.345
V Ni Pt
2 4 3
direct
0.794 0.128 0.324 V
0.206 0.872 0.676 V
0.324 0.345 0.003 Ni
0.882 0.561 0.659 Ni
0.118 0.439 0.341 Ni
0.676 0.655 0.997 Ni
0.563 0.208 0.666 Pt
0.000 0.000 0.000 Pt
0.437 0.792 0.334 Pt

B) V2Ni4Pt3 | Alexandria via LeMat-Bulk | PBE-GGA | optimized geometry; spin magnetization = 0.00 μB/cell; volume = 13.0 A^3/atom
1.0
3.617 0.000 0.774
1.631 4.089 1.216
0.193 0.020 7.933
V Ni Pt
2 4 3
direct
0.331 0.116 0.223 V
0.669 0.884 0.777 V
0.668 0.560 0.104 Ni
0.995 0.329 0.681 Ni
0.005 0.671 0.319 Ni
0.332 0.440 0.896 Ni
0.331 0.771 0.567 Pt
0.000 0.000 0.000 Pt
0.669 0.229 0.433 Pt

Stability check: which of them is least stable? A).

A) Ni2PtW | Alexandria via LeMat-Bulk | PBE-GGA | optimized geometry; spin magnetization = 0.00 μB/cell; volume = 13.4 A^3/atom
1.0
2.723 0.000 0.000
0.000 3.681 0.000
0.000 0.000 5.340
Ni W Pt
2 1 1
direct
0.000 0.000 0.988 Ni
0.000 0.000 0.512 Ni
0.500 0.500 0.750 W
0.500 0.500 0.250 Pt

B) Ni2PtW | Alexandria via LeMat-Bulk | PBE-GGA | optimized geometry; spin magnetization = 0.00 μB/cell; volume = 13.4 A^3/atom
1.0
2.706 0.003 0.000
-0.003 2.706 0.000
0.000 0.000 7.334
Ni Pt W
2 1 1
direct
0.000 0.000 0.994 Ni
0.000 0.000 0.506 Ni
0.500 0.500 0.250 Pt
0.500 0.500 0.750 W

C) Ni2PtW | Alexandria via LeMat-Bulk | PBE-GGA | optimized geometry; spin magnetization = 0.00 μB/cell; volume = 13.6 A^3/atom
1.0
-4.270 0.624 -1.342
-4.108 -1.863 -0.279
-1.871 1.601 4.028
Ni Pt W
2 1 1
direct
0.249 0.249 0.768 Ni
0.751 0.751 0.232 Ni
0.000 0.000 0.500 Pt
0.500 0.500 0.000 W

Stability check: which of them is least stable? B).